No. 1
Material: Tl3Zn2CoF9
Method: DFT, PBE with a Hubbard U
State: optimized geometry

Results
Uncorrected energy: -61.886 eV for the cell shown
DOS at the Fermi energy: 0.451 states/eV per atom
Space-group type: P-3m1

Cell: 5.937 5.937 7.260 Å, 90.00 90.00 120.00°
Fractional positions:
Tl: 0.000 0.000 0.000
Tl: 0.333 0.667 0.667
Tl: 0.667 0.333 0.333
Zn: 0.333 0.667 0.167
Zn: 0.667 0.333 0.833
Co: 0.000 0.000 0.500
F: 0.000 0.500 0.000
F: 0.167 0.333 0.334
F: 0.167 0.833 0.334
F: 0.333 0.167 0.666
F: 0.500 0.000 0.000
F: 0.500 0.500 0.000
F: 0.667 0.833 0.334
F: 0.833 0.167 0.666
F: 0.833 0.667 0.666

***

No. 2
Material: Tl2ZnCo3F12
Method: DFT, PBE with a Hubbard U
State: optimized geometry

Results
Uncorrected energy: -79.304 eV for the cell shown
DOS at the Fermi energy: 0.150 states/eV per atom
Space-group type: R-3m

Cell: 7.282 7.282 7.282 Å, 60.37 60.37 60.37°
Fractional positions:
Tl: 0.127 0.127 0.127
Tl: 0.873 0.873 0.873
Zn: 0.500 0.500 0.500
Co: 0.000 0.500 0.500
Co: 0.500 0.000 0.500
Co: 0.500 0.500 0.000
F: 0.166 0.577 0.577
F: 0.184 0.184 0.574
F: 0.184 0.574 0.184
F: 0.423 0.423 0.834
F: 0.423 0.834 0.423
F: 0.426 0.816 0.816
F: 0.574 0.184 0.184
F: 0.577 0.166 0.577
F: 0.577 0.577 0.166
F: 0.816 0.426 0.816
F: 0.816 0.816 0.426
F: 0.834 0.423 0.423

***

No. 3
Material: TlZnCoF6
Method: DFT, PBE with a Hubbard U
State: optimized geometry

Results
Uncorrected energy: -76.032 eV for the cell shown
DOS at the Fermi energy: 0.000 states/eV per atom
Space-group type: Imma

Cell: 7.242 7.242 7.242 Å, 120.24 120.00 89.79°
Fractional positions:
Tl: 0.365 0.115 0.250
Tl: 0.635 0.885 0.750
Zn: 0.000 0.000 0.500
Zn: 0.000 0.500 0.000
Co: 0.000 0.500 0.500
Co: 0.500 0.500 0.000
F: 0.085 0.437 0.276
F: 0.085 0.808 0.647
F: 0.086 0.836 0.250
F: 0.307 0.557 0.750
F: 0.339 0.192 0.776
F: 0.339 0.563 0.147
F: 0.661 0.437 0.853
F: 0.661 0.808 0.224
F: 0.693 0.443 0.250
F: 0.914 0.164 0.750
F: 0.915 0.192 0.353
F: 0.915 0.563 0.724

***

No. 4
Material: TlZnCo2F8
Method: DFT, PBE with a Hubbard U
State: optimized geometry

Results
Uncorrected energy: -53.144 eV for the cell shown
DOS at the Fermi energy: 0.229 states/eV per atom
Space-group type: P2/m

Cell: 4.956 6.709 4.970 Å, 90.00 90.87 90.00°
Fractional positions:
Tl: 0.000 0.000 0.000
Zn: 0.000 0.500 0.000
Co: 0.500 0.264 0.500
Co: 0.500 0.736 0.500
F: 0.211 0.283 0.208
F: 0.211 0.717 0.208
F: 0.304 0.500 0.694
F: 0.329 0.000 0.668
F: 0.671 0.000 0.332
F: 0.696 0.500 0.306
F: 0.789 0.283 0.792
F: 0.789 0.717 0.792

***

No. 5
Material: TlZn2CoF8
Method: DFT, PBE with a Hubbard U
State: optimized geometry

Results
Uncorrected energy: -49.251 eV for the cell shown
Space-group type: P-1

Cell: 5.101 5.107 7.426 Å, 76.60 76.76 75.54°
Fractional positions:
Tl: 0.000 0.000 0.000
Zn: 0.447 0.447 0.228
Zn: 0.553 0.553 0.772
Co: 0.000 0.000 0.500
F: 0.198 0.751 0.692
F: 0.239 0.235 0.455
F: 0.247 0.800 0.309
F: 0.343 0.339 0.015
F: 0.657 0.661 0.985
F: 0.753 0.200 0.691
F: 0.761 0.765 0.545
F: 0.802 0.249 0.308

***

No. 6
Material: TmCoF6
Method: DFT, PBE with a Hubbard U
State: optimized geometry

Results
Uncorrected energy: -44.557 eV for the cell shown
DOS at the Fermi energy: 0.000 states/eV per atom
Space-group type: C2/m

Cell: 5.004 5.004 5.145 Å, 96.30 96.30 117.22°
Fractional positions:
Tm: 0.000 0.000 0.000
Co: 0.500 0.500 0.500
F: 0.137 0.435 0.253
F: 0.248 0.248 0.714
F: 0.435 0.137 0.253
F: 0.565 0.863 0.747
F: 0.752 0.752 0.286
F: 0.863 0.565 0.747

***

No. 7
Material: TmCoF5
Method: DFT, PBE with a Hubbard U
State: optimized geometry

Results
Uncorrected energy: -83.780 eV for the cell shown
DOS at the Fermi energy: 0.000 states/eV per atom
Space-group type: C2/c

Cell: 5.586 5.586 7.470 Å, 108.99 108.99 73.66°
Fractional positions:
Tm: 0.052 0.948 0.750
Tm: 0.948 0.052 0.250
Co: 0.500 0.500 0.000
Co: 0.500 0.500 0.500
F: 0.173 0.807 0.037
F: 0.193 0.827 0.463
F: 0.230 0.285 0.373
F: 0.285 0.230 0.873
F: 0.382 0.618 0.750
F: 0.618 0.382 0.250
F: 0.715 0.770 0.127
F: 0.770 0.715 0.627
F: 0.807 0.173 0.537
F: 0.827 0.193 0.963

***

No. 8
Material: V3CoF
Method: DFT, PBE with a Hubbard U
State: optimized geometry

Results
Uncorrected energy: -23.175 eV for the cell shown
DOS at the Fermi energy: 0.732 states/eV per atom
Space-group type: Pm-3m
Offset from the most stable computed form: 564 meV/atom

Cell: 4.642 4.642 4.642 Å, 90.00 90.00 90.00°
Fractional positions:
V: 0.000 0.000 0.500
V: 0.000 0.500 0.000
V: 0.500 0.000 0.000
Co: 0.000 0.000 0.000
F: 0.500 0.500 0.500

***

Q: Which formula does entry 2 have?
A: Tl2ZnCo3F12

***

Q: What is the uncorrected energy in the eighth record?
A: -23.175 eV for the cell shown

***

Please write out number 6 again, unchanged.
Material: TmCoF6
Method: DFT, PBE with a Hubbard U
State: optimized geometry

Results
Uncorrected energy: -44.557 eV for the cell shown
DOS at the Fermi energy: 0.000 states/eV per atom
Space-group type: C2/m

Cell: 5.004 5.004 5.145 Å, 96.30 96.30 117.22°
Fractional positions:
Tm: 0.000 0.000 0.000
Co: 0.500 0.500 0.500
F: 0.137 0.435 0.253
F: 0.248 0.248 0.714
F: 0.435 0.137 0.253
F: 0.565 0.863 0.747
F: 0.752 0.752 0.286
F: 0.863 0.565 0.747